1:
## Rb2GePbI6 (PBE)

Data for an optimized crystal structure of Rb2GePbI6.

Results
Crystal system: cubic
Mass density in g/cm³: 4.307
Space group: Fm-3m

Geometry as POSCAR:
```
Rb2GePbI6
1.0
-1.961 -3.529 -7.720
-3.047 -7.102 4.021
-8.104 -2.767 -1.592
I Pb Rb Ge
6 1 2 1
Cartesian
-7.901 -9.315 -3.566
-5.211 -4.084 -1.725
-3.715 -7.886 -2.744
-2.241 -4.452 -4.688
-2.767 -6.180 0.989
-1.293 -2.746 -0.955
0.000 0.000 0.000
-6.284 -5.806 -5.581
-6.828 -7.593 0.290
-2.504 -5.316 -1.850
```



2:
## Rb2GePbI6 (PBE)

Data for an optimized crystal structure of Rb2GePbI6.

Results
Crystal system: tetragonal
Mass density in g/cm³: 4.255
Space group: P4/mmm

Geometry as POSCAR:
```
Rb2GePbI6
1.0
6.197 0.000 0.000
0.000 6.197 0.000
0.000 0.000 12.317
I Rb Pb Ge
6 2 1 1
Cartesian
0.000 3.099 6.158
3.099 3.099 9.102
3.099 3.099 3.214
3.099 0.000 0.000
3.099 0.000 6.158
0.000 3.099 0.000
0.000 0.000 3.292
0.000 0.000 9.025
3.099 3.099 0.000
3.099 3.099 6.158
```



Stability, descending: 1, 2



1:
## GeTe2PbI (PBE)

Data for an optimized crystal structure of GeTe2PbI.

Results
Crystal system: tetragonal
Mass density in g/cm³: 6.412
Space group: P4/mmm

Geometry as POSCAR:
```
GeTe2PbI
1.0
-0.275 1.836 -5.176
-0.273 -5.181 -1.824
-5.654 0.171 0.361
I Pb Te Ge
1 1 2 1
Cartesian
-2.827 0.086 0.180
-3.101 -1.587 -3.320
-0.137 -2.591 -0.912
-0.137 0.918 -2.588
0.000 0.000 0.000
```



2:
## GeTe2PbI (PBE)

Data for an optimized crystal structure of GeTe2PbI.

Results
Crystal system: tetragonal
Mass density in g/cm³: 5.289
Space group: P4/mmm

Geometry as POSCAR:
```
GeTe2PbI
1.0
-1.265 -2.384 -5.233
5.247 1.714 -2.049
2.395 -5.196 1.788
Ge I Te Pb
1 1 2 1
Cartesian
3.189 -2.933 -2.747
1.198 -2.598 0.894
2.624 0.857 -1.025
-0.633 -1.192 -2.617
0.000 0.000 0.000
```



Stability, descending: 1, 2



1:
## GeSbPdI2 (PBE)

Data for an optimized crystal structure of GeSbPdI2.

Results
Crystal system: tetragonal
Mass density in g/cm³: 5.910
Space group: P4/mmm

Geometry as POSCAR:
```
GeSbPdI2
1.0
5.426 0.000 0.000
0.000 5.426 0.000
0.000 0.000 5.293
Sb Pd I Ge
1 1 2 1
Cartesian
0.000 0.000 2.647
0.000 0.000 0.000
0.000 2.713 0.000
2.713 0.000 0.000
2.713 2.713 2.647
```



2:
## GeSbPdI2 (PBE)

Data for an optimized crystal structure of GeSbPdI2.

Results
Crystal system: tetragonal
Mass density in g/cm³: 5.322
Space group: P4/mmm

Geometry as POSCAR:
```
GeSbPdI2
1.0
-4.920 0.013 2.673
0.499 -5.497 0.945
2.588 1.053 4.759
Sb I Ge Pd
1 2 1 1
Cartesian
1.294 0.527 2.379
0.249 -2.748 0.473
-2.460 0.007 1.337
0.000 0.000 0.000
-0.917 -2.215 4.189
```



Stability, descending: 1, 2



1:
## Ge2PdWI (PBE)

Data for an optimized crystal structure of Ge2PdWI.

Results
Crystal system: tetragonal
Mass density in g/cm³: 6.497
Space group: P4/mmm

Geometry as POSCAR:
```
Ge2PdWI
1.0
-1.183 1.081 -5.121
-2.637 -4.230 -0.283
-4.400 2.638 1.574
Ge Pd W I
2 1 1 1
Cartesian
-0.592 0.540 -2.560
-2.200 1.319 0.787
-4.110 -0.256 -1.915
-1.319 -2.115 -0.142
0.000 0.000 0.000
```



2:
## Ge2PdWI (PBE)

Data for an optimized crystal structure of Ge2PdWI.

Results
Crystal system: tetragonal
Mass density in g/cm³: 7.381
Space group: P4/mmm

Geometry as POSCAR:
```
Ge2PdWI
1.0
4.777 0.000 0.000
0.000 5.545 0.000
0.000 0.000 4.777
Ge W Pd I
2 1 1 1
Cartesian
0.000 0.000 2.388
2.388 0.000 0.000
2.388 2.773 2.388
0.000 0.000 0.000
0.000 2.773 0.000
```



Stability, descending: 2, 1



1:
## Pm2GeI2 (PBE)

Data for an optimized crystal structure of Pm2GeI2.

Results
Crystal system: trigonal
Mass density in g/cm³: 5.437
Space group: R-3m

Geometry as POSCAR:
```
Pm2GeI2
1.0
4.274 0.000 0.790
2.064 3.742 0.790
0.032 0.019 11.778
I Pm Ge
2 2 1
Cartesian
4.919 2.905 9.250
1.450 0.856 4.109
3.931 2.321 2.645
2.438 1.440 10.714
0.000 0.000 0.000
```



2:
## Pm2GeI2 (PBE)

Data for an optimized crystal structure of Pm2GeI2.

Results
Crystal system: orthorhombic
Mass density in g/cm³: 5.947
Space group: Cmc2_1

Geometry as POSCAR:
```
Pm2GeI2
1.0
-0.971 3.192 -2.518
0.769 -6.083 -4.539
-10.908 -2.321 1.264
Ge Pm I
2 4 4
Cartesian
-11.150 -2.053 -1.772
-5.099 -4.253 -3.425
-1.373 -2.399 -2.512
-7.292 -2.293 -3.565
-9.800 -2.425 0.705
-4.590 -3.485 -6.118
-1.697 -2.329 -5.768
-8.842 -5.208 -3.193
-4.005 -0.373 -2.399
-6.838 -2.335 -0.323
```



Stability, descending: 1, 2



1:
## Pm3GeI3 (PBE)

Data for an optimized crystal structure of Pm3GeI3.

Results
Crystal system: orthorhombic
Mass density in g/cm³: 5.826
Space group: Cmcm

Geometry as POSCAR:
```
Pm3GeI3
1.0
6.313 0.000 0.000
0.000 9.621 -0.004
0.000 -4.797 8.339
Pm I Ge
6 6 2
Cartesian
4.735 2.485 6.984
1.578 7.296 1.340
1.578 2.338 1.351
1.578 4.821 5.635
4.735 0.003 2.700
4.735 -2.472 6.996
4.735 6.678 1.696
1.578 -1.854 6.639
1.578 1.873 6.631
4.735 4.821 4.928
1.578 0.003 3.408
4.735 2.950 1.705
1.578 4.821 2.774
4.735 0.003 5.561
```



2:
## Pm3GeI3 (PBE)

Data for an optimized crystal structure of Pm3GeI3.

Results
Crystal system: monoclinic
Mass density in g/cm³: 5.998
Space group: P2_1/m

Geometry as POSCAR:
```
Pm3GeI3
1.0
4.336 0.000 0.000
0.000 9.082 -0.196
0.000 0.356 12.485
Ge Pm I
2 6 6
Cartesian
3.252 8.233 7.548
1.084 1.205 4.741
1.084 1.133 7.670
3.252 3.092 4.666
3.252 8.305 4.619
3.252 8.312 10.363
1.084 6.346 7.624
1.084 1.126 1.926
3.252 3.412 1.491
3.252 7.876 1.318
1.084 5.727 4.449
1.084 1.562 10.971
1.084 6.026 10.798
3.252 3.711 7.840
```



Stability, descending: 2, 1



1:
## PmGeI (PBE)

Data for an optimized crystal structure of PmGeI.

Results
Crystal system: monoclinic
Mass density in g/cm³: 5.735
Space group: C2/m

Geometry as POSCAR:
```
PmGeI
1.0
4.366 -0.005 -0.017
2.177 3.784 -0.017
0.316 0.183 12.066
I Ge Pm
2 2 2
Cartesian
4.498 2.598 2.019
2.360 1.363 10.013
2.337 1.350 5.891
4.522 2.612 6.141
6.711 3.877 7.960
0.147 0.085 4.073
```



2:
## PmGeI (PBE)

Data for an optimized crystal structure of PmGeI.

Results
Crystal system: tetragonal
Mass density in g/cm³: 5.997
Space group: P4/nmm

Geometry as POSCAR:
```
PmGeI
1.0
5.751 0.000 0.000
0.000 5.753 0.000
0.000 0.000 11.534
I Ge Pm
4 4 4
Cartesian
1.875 0.000 3.844
1.875 2.877 7.690
4.751 5.753 7.690
4.751 2.876 3.844
0.441 1.438 11.534
0.441 4.315 0.000
3.317 4.315 0.000
3.317 1.438 11.534
4.752 2.876 9.274
1.876 0.000 9.274
1.876 2.877 2.260
4.752 5.753 2.260
```



Stability, descending: 1, 2



1:
## Pr3GeI3 (PBE)

Data for an optimized crystal structure of Pr3GeI3.

Results
Crystal system: monoclinic
Mass density in g/cm³: 5.671
Space group: P2_1/m

Geometry as POSCAR:
```
Pr3GeI3
1.0
-0.923 -3.994 1.579
4.701 -3.833 -6.946
10.511 0.363 7.062
Ge Pr I
2 6 6
Cartesian
7.919 -4.239 -3.038
6.370 -3.224 4.733
3.819 -3.245 3.189
6.451 -5.435 -0.811
5.544 -4.322 -4.636
10.471 -4.218 -1.494
8.745 -3.141 6.331
7.839 -2.029 2.506
8.879 -5.129 1.382
1.210 -3.481 1.068
5.411 -2.334 0.313
13.079 -3.982 0.627
10.712 -2.104 3.993
3.578 -5.359 -2.298
```



2:
## Pr3GeI3 (PBE)

Data for an optimized crystal structure of Pr3GeI3.

Results
Crystal system: monoclinic
Mass density in g/cm³: 5.586
Space group: C2/m

Geometry as POSCAR:
```
Pr3GeI3
1.0
-7.670 -0.220 -0.759
1.354 -2.186 7.269
2.351 9.737 -0.258
I Pr Ge
6 6 2
Cartesian
-4.661 -0.876 1.917
-1.655 -1.531 4.592
-2.941 2.158 3.834
1.025 3.010 5.802
-1.024 5.173 2.418
-4.990 4.321 0.450
-0.703 5.761 5.634
-4.851 -0.344 5.368
-4.025 6.484 2.678
0.060 0.847 3.573
0.886 7.675 0.883
-3.262 1.571 0.617
-0.478 0.862 0.749
-3.487 6.469 5.503
```



Stability, descending: 1, 2



1:
## GePt2I (PBE)

Data for an optimized crystal structure of GePt2I.

Results
Crystal system: cubic
Mass density in g/cm³: 12.801
Space group: Fm-3m

Geometry as POSCAR:
```
GePt2I
1.0
0.000 3.369 3.369
3.369 0.000 3.369
3.369 3.369 0.000
Pt Ge I
2 1 1
Cartesian
1.685 1.685 1.685
5.054 5.054 5.054
0.000 0.000 0.000
3.369 3.369 3.369
```



2:
## GePt2I (PBE)

Data for an optimized crystal structure of GePt2I.

Results
Crystal system: tetragonal
Mass density in g/cm³: 10.057
Space group: I-42d

Geometry as POSCAR:
```
GePt2I
1.0
-1.081 -4.694 4.417
6.330 -1.617 -0.168
3.471 -0.189 5.483
Pt I Ge
4 2 2
Cartesian
4.646 -1.828 1.990
6.948 -5.600 7.837
1.025 -3.000 3.938
4.818 -2.572 5.699
0.000 0.000 0.000
2.507 -4.019 6.012
6.212 -2.481 3.720
2.624 -3.155 2.124
```



Stability, descending: 2, 1



1:
## GePtI2 (PBE)

Data for an optimized crystal structure of GePtI2.

Results
Crystal system: tetragonal
Mass density in g/cm³: 6.264
Space group: I-42d

Geometry as POSCAR:
```
GePtI2
1.0
6.711 0.000 0.000
0.000 6.711 0.000
3.356 3.356 6.139
Pt I Ge
2 4 2
Cartesian
0.000 0.000 0.000
6.711 3.356 3.070
8.389 8.635 4.605
1.432 5.033 1.535
5.033 4.787 4.605
5.279 1.678 1.535
3.356 3.356 0.000
3.356 6.711 3.070
```



2:
## GePtI2 (PBE)

Data for an optimized crystal structure of GePtI2.

Results
Crystal system: cubic
Mass density in g/cm³: 8.848
Space group: Fm-3m

Geometry as POSCAR:
```
GePtI2
1.0
0.000 3.658 3.658
3.658 0.000 3.658
3.658 3.658 0.000
Ge Pt I
1 1 2
Cartesian
0.000 0.000 0.000
3.658 3.658 3.658
1.829 1.829 1.829
5.487 5.487 5.487
```



3:
## GePtI2 (PBE)

Data for an optimized crystal structure of GePtI2.

Results
Crystal system: trigonal
Mass density in g/cm³: 6.226
Space group: R-3m

Geometry as POSCAR:
```
GePtI2
1.0
4.349 0.000 0.000
2.174 3.766 0.000
2.174 1.255 8.493
Ge I Pt
1 2 1
Cartesian
4.349 2.511 4.247
6.523 3.766 2.499
2.174 1.255 5.994
0.000 0.000 0.000
```



Stability, descending: 1, 3, 2



1:
## GeTePtI2 (PBE)

Data for an optimized crystal structure of GeTePtI2.

Results
Crystal system: tetragonal
Mass density in g/cm³: 6.403
Space group: P4/mmm

Geometry as POSCAR:
```
GeTePtI2
1.0
5.521 0.000 0.000
0.000 5.522 0.000
0.000 0.000 5.521
I Ge Te Pt
2 1 1 1
Cartesian
0.000 0.000 2.761
2.761 0.000 0.000
0.000 0.000 0.000
0.000 2.761 0.000
2.761 2.761 2.761
```



2:
## GeTePtI2 (PBE)

Data for an optimized crystal structure of GeTePtI2.

Results
Crystal system: tetragonal
Mass density in g/cm³: 6.796
Space group: P4/mmm

Geometry as POSCAR:
```
GeTePtI2
1.0
-2.464 2.070 4.385
1.248 -4.482 2.817
4.619 2.250 1.533
Ge Pt I Te
1 1 2 1
Cartesian
1.702 -0.081 4.367
0.000 0.000 0.000
-1.232 1.035 2.192
0.624 -2.241 1.409
2.310 1.125 0.767
```



Stability, descending: 2, 1